A plane-wave DFT calculation with GGA-PBE was carried out for Cu2SbS3 after structural relaxation.

Output
formation energy without anion corrections = -0.112 eV/atom
excess energy over the best structure of this formula in the dataset = 0.453 eV per formula unit
density of states at the Fermi level = 4.086 states/eV/f.u.
VASP energy = -0.3108 Ry/atom

POSCAR file:
```
Cu2SbS3
1.0
6.497 0.000 0.000
0.000 3.812 0.000
-0.772 0.000 11.199
Cu Sb S
4 2 6
Cartesian
-0.033 0.953 4.636
2.922 0.953 0.637
2.803 2.859 10.563
5.758 2.859 6.564
1.986 0.953 7.587
3.739 2.859 3.612
0.512 2.859 8.541
1.147 2.859 5.080
2.248 2.859 1.500
3.476 0.953 9.699
4.577 0.953 6.119
5.212 0.953 2.658
```